# La5Cu2Sb | the Alexandria database | GGA-PBE | optimized geometry
data_La5Cu2Sb
_chemical_formula_sum 'La10 Cu4 Sb2'
_cell_length_a 8.935
_cell_length_b 8.935
_cell_length_c 8.935
_cell_angle_alpha 124.11
_cell_angle_beta 124.11
_cell_angle_gamma 83.02
_space_group_name_H-M_alt 'P 1'
_space_group_IT_number 1
loop_
_space_group_symop_operation_xyz
'x,y,z'
loop_
_atom_site_label
_atom_site_type_symbol
_atom_site_fract_x
_atom_site_fract_y
_atom_site_fract_z
La1 La 0.000 0.000 0.000
La2 La 0.011 0.511 0.808
La3 La 0.203 0.011 0.500
La4 La 0.297 0.797 0.808
La5 La 0.489 0.297 0.500
La6 La 0.500 0.500 0.000
La7 La 0.511 0.703 0.500
La8 La 0.703 0.203 0.192
La9 La 0.797 0.989 0.500
La10 La 0.989 0.489 0.192
Cu1 Cu 0.133 0.367 0.500
Cu2 Cu 0.367 0.867 0.234
Cu3 Cu 0.633 0.133 0.766
Cu4 Cu 0.867 0.633 0.500
Sb1 Sb 0.250 0.250 0.000
Sb2 Sb 0.750 0.750 0.000
# **Total magnetization**: 0.000 μB/cell
# **E**: -5.01 eV per atom
# **SG**: I4/mcm (140)



# La2CuSb | the Alexandria database | GGA-PBE | optimized geometry
data_La2CuSb
_chemical_formula_sum 'La4 Cu2 Sb2'
_cell_length_a 6.869
_cell_length_b 6.869
_cell_length_c 6.869
_cell_angle_alpha 107.82
_cell_angle_beta 107.82
_cell_angle_gamma 112.82
_space_group_name_H-M_alt 'P 1'
_space_group_IT_number 1
loop_
_space_group_symop_operation_xyz
'x,y,z'
loop_
_atom_site_label
_atom_site_type_symbol
_atom_site_fract_x
_atom_site_fract_y
_atom_site_fract_z
La1 La 0.093 0.625 0.968
La2 La 0.375 0.343 0.468
La3 La 0.657 0.125 0.032
La4 La 0.875 0.907 0.532
Cu1 Cu 0.000 0.000 0.000
Cu2 Cu 0.750 0.250 0.500
Sb1 Sb 0.250 0.750 0.500
Sb2 Sb 0.500 0.500 0.000
# **Total magnetization**: 0.000 μB/cell
# **E**: -4.93 eV per atom
# **SG**: I-42d (122)



# LaCu2Sb2 | the Alexandria database | GGA-PBE | optimized geometry
data_LaCu2Sb2
_chemical_formula_sum 'La2 Cu4 Sb4'
_cell_length_a 7.818
_cell_length_b 7.818
_cell_length_c 3.549
_cell_angle_alpha 90.00
_cell_angle_beta 90.00
_cell_angle_gamma 90.00
_space_group_name_H-M_alt 'P 1'
_space_group_IT_number 1
loop_
_space_group_symop_operation_xyz
'x,y,z'
loop_
_atom_site_label
_atom_site_type_symbol
_atom_site_fract_x
_atom_site_fract_y
_atom_site_fract_z
La1 La 0.000 0.000 0.000
La2 La 0.500 0.500 0.000
Cu1 Cu 0.111 0.389 0.000
Cu2 Cu 0.389 0.889 0.000
Cu3 Cu 0.611 0.111 0.000
Cu4 Cu 0.889 0.611 0.000
Sb1 Sb 0.179 0.679 0.500
Sb2 Sb 0.321 0.179 0.500
Sb3 Sb 0.679 0.821 0.500
Sb4 Sb 0.821 0.321 0.500
# **Total magnetization**: 0.000 μB/cell
# **E**: -4.61 eV per atom
# **SG**: P4/mbm (127)



# La2CuSb2 | the Alexandria database | GGA-PBE | optimized geometry
data_La2CuSb2
_chemical_formula_sum 'La4 Cu2 Sb4'
_cell_length_a 8.100
_cell_length_b 8.100
_cell_length_c 4.432
_cell_angle_alpha 90.00
_cell_angle_beta 90.00
_cell_angle_gamma 90.00
_space_group_name_H-M_alt 'P 1'
_space_group_IT_number 1
loop_
_space_group_symop_operation_xyz
'x,y,z'
loop_
_atom_site_label
_atom_site_type_symbol
_atom_site_fract_x
_atom_site_fract_y
_atom_site_fract_z
La1 La 0.153 0.347 0.000
La2 La 0.347 0.847 0.000
La3 La 0.653 0.153 0.000
La4 La 0.847 0.653 0.000
Cu1 Cu 0.000 0.000 0.500
Cu2 Cu 0.500 0.500 0.500
Sb1 Sb 0.160 0.660 0.500
Sb2 Sb 0.340 0.160 0.500
Sb3 Sb 0.660 0.840 0.500
Sb4 Sb 0.840 0.340 0.500
# **Energy above the lowest structure with this stoichiometry**: 0 meV/atom
# **Total magnetization**: 0.002 μB/cell
# **E**: -5.11 eV per atom
# **SG**: P4/mbm (127)



# La2ScCuSb | the Alexandria database | GGA-PBE | optimized geometry
data_La2ScCuSb
_chemical_formula_sum 'La2 Sc1 Cu1 Sb1'
_cell_length_a 5.475
_cell_length_b 5.475
_cell_length_c 5.051
_cell_angle_alpha 90.00
_cell_angle_beta 90.00
_cell_angle_gamma 90.00
_space_group_name_H-M_alt 'P 1'
_space_group_IT_number 1
loop_
_space_group_symop_operation_xyz
'x,y,z'
loop_
_atom_site_label
_atom_site_type_symbol
_atom_site_fract_x
_atom_site_fract_y
_atom_site_fract_z
La1 La 0.000 0.500 0.000
La2 La 0.500 0.000 0.000
Sc1 Sc 0.000 0.000 0.500
Cu1 Cu 0.000 0.000 0.000
Sb1 Sb 0.500 0.500 0.500
# **Total magnetization**: 0.000 μB/cell
# **E**: -5.13 eV per atom
# **SG**: P4/mmm (123)



# LaSmCuSb | the Alexandria database | GGA-PBE | optimized geometry
data_LaSmCuSb
_chemical_formula_sum 'La1 Sm1 Cu1 Sb1'
_cell_length_a 5.318
_cell_length_b 5.318
_cell_length_c 5.318
_cell_angle_alpha 60.00
_cell_angle_beta 60.00
_cell_angle_gamma 60.00
_space_group_name_H-M_alt 'P 1'
_space_group_IT_number 1
loop_
_space_group_symop_operation_xyz
'x,y,z'
loop_
_atom_site_label
_atom_site_type_symbol
_atom_site_fract_x
_atom_site_fract_y
_atom_site_fract_z
La1 La 0.000 0.000 0.000
Sm1 Sm 0.500 0.500 0.500
Cu1 Cu 0.250 0.250 0.250
Sb1 Sb 0.750 0.750 0.750
# **Total magnetization**: 0.000 μB/cell
# **E**: -5.00 eV per atom
# **SG**: F-43m (216)



# SrLaCu2Sb2 | the Alexandria database | GGA-PBE | optimized geometry
data_SrLaCu2Sb2
_chemical_formula_sum 'Sr1 La1 Cu2 Sb2'
_cell_length_a 4.487
_cell_length_b 4.487
_cell_length_c 8.857
_cell_angle_alpha 90.00
_cell_angle_beta 90.00
_cell_angle_gamma 120.00
_space_group_name_H-M_alt 'P 1'
_space_group_IT_number 1
loop_
_space_group_symop_operation_xyz
'x,y,z'
loop_
_atom_site_label
_atom_site_type_symbol
_atom_site_fract_x
_atom_site_fract_y
_atom_site_fract_z
Sr1 Sr 0.000 0.000 0.000
La1 La 0.000 0.000 0.500
Cu1 Cu 0.333 0.667 0.721
Cu2 Cu 0.667 0.333 0.279
Sb1 Sb 0.333 0.667 0.254
Sb2 Sb 0.667 0.333 0.746
# **Total magnetization**: 0.000 μB/cell
# **E**: -4.60 eV per atom
# **SG**: P-3m1 (164)



# LaCuSb2Te | the Alexandria database | GGA-PBE | optimized geometry
data_LaCuSb2Te
_chemical_formula_sum 'La1 Cu1 Sb2 Te1'
_cell_length_a 6.095
_cell_length_b 6.095
_cell_length_c 6.051
_cell_angle_alpha 90.00
_cell_angle_beta 90.00
_cell_angle_gamma 90.00
_space_group_name_H-M_alt 'P 1'
_space_group_IT_number 1
loop_
_space_group_symop_operation_xyz
'x,y,z'
loop_
_atom_site_label
_atom_site_type_symbol
_atom_site_fract_x
_atom_site_fract_y
_atom_site_fract_z
La1 La 0.000 0.000 0.000
Cu1 Cu 0.500 0.500 0.500
Sb1 Sb 0.000 0.500 0.000
Sb2 Sb 0.500 0.000 0.000
Te1 Te 0.000 0.000 0.500
# **Energy above the lowest structure with this stoichiometry**: 1029 meV/atom
# **Total magnetization**: 0.005 μB/cell
# **E**: -3.35 eV per atom
# **SG**: P4/mmm (123)



- Which of these has the lowest E?
  La2ScCuSb



Please write out number 2 again, unchanged.
# La2CuSb | the Alexandria database | GGA-PBE | optimized geometry
data_La2CuSb
_chemical_formula_sum 'La4 Cu2 Sb2'
_cell_length_a 6.869
_cell_length_b 6.869
_cell_length_c 6.869
_cell_angle_alpha 107.82
_cell_angle_beta 107.82
_cell_angle_gamma 112.82
_space_group_name_H-M_alt 'P 1'
_space_group_IT_number 1
loop_
_space_group_symop_operation_xyz
'x,y,z'
loop_
_atom_site_label
_atom_site_type_symbol
_atom_site_fract_x
_atom_site_fract_y
_atom_site_fract_z
La1 La 0.093 0.625 0.968
La2 La 0.375 0.343 0.468
La3 La 0.657 0.125 0.032
La4 La 0.875 0.907 0.532
Cu1 Cu 0.000 0.000 0.000
Cu2 Cu 0.750 0.250 0.500
Sb1 Sb 0.250 0.750 0.500
Sb2 Sb 0.500 0.500 0.000
# **Total magnetization**: 0.000 μB/cell
# **E**: -4.93 eV per atom
# **SG**: I-42d (122)